(1)
# PBE YZr2Pt, relaxed
data_YZr2Pt
_cell_length_a 3.3850
_cell_length_b 3.3850
_cell_length_c 28.6980
_cell_angle_alpha 90.00
_cell_angle_beta 90.00
_cell_angle_gamma 120.00
_symmetry_space_group_name_H-M 'R -3 m'
_symmetry_Int_Tables_number 166
_symmetry_space_group_name_Hall '-R 3 2"'
loop_
_atom_site_label
_atom_site_type_symbol
_atom_site_fract_x
_atom_site_fract_y
_atom_site_fract_z
Y1 Y 0.0000 0.0000 0.0000
Zr1 Zr 0.0000 0.0000 0.2361
Pt1 Pt 0.0000 0.0000 0.5000
# - relative energy among the computed polymorphs (meV per atom) = 298


(2)
DFT (PBE) results for crystalline Y5ZrPt6 at its relaxed geometry.

Geometry as CIF:
```
data_Y5ZrPt6
_cell_length_a 15.6797
_cell_length_b 6.9459
_cell_length_c 4.9044
_cell_angle_alpha 90.00
_cell_angle_beta 108.12
_cell_angle_gamma 90.00
_symmetry_space_group_name_H-M 'C 1 2/m 1'
_symmetry_Int_Tables_number 12
loop_
_symmetry_equiv_pos_as_xyz
'x,y,z'
'-x,-y,-z'
'-x,y,-z'
'x,-y,z'
'x+1/2,y+1/2,z'
'-x+1/2,-y+1/2,-z'
'-x+1/2,y+1/2,-z'
'x+1/2,-y+1/2,z'
loop_
_atom_site_label
_atom_site_type_symbol
_atom_site_fract_x
_atom_site_fract_y
_atom_site_fract_z
Y1 Y 0.0000 0.0000 0.0000
Y2 Y 0.1644 0.0000 0.6634
Y3 Y 0.1714 0.5000 0.6711
Zr1 Zr 0.0000 0.5000 0.0000
Pt1 Pt 0.0000 0.2750 0.5000
Pt2 Pt 0.1542 0.2638 0.1529
```


(3)
# PBE Y2ZrPt, relaxed
data_Y2ZrPt
_cell_length_a 4.2281
_cell_length_b 4.2281
_cell_length_c 10.5956
_cell_angle_alpha 90.00
_cell_angle_beta 90.00
_cell_angle_gamma 90.00
_symmetry_space_group_name_H-M 'I -4 m 2'
_symmetry_Int_Tables_number 119
_symmetry_space_group_name_Hall 'I -4 -2'
loop_
_atom_site_label
_atom_site_type_symbol
_atom_site_fract_x
_atom_site_fract_y
_atom_site_fract_z
Y1 Y 0.0000 0.0000 0.0000
Y2 Y 0.0000 0.5000 0.2500
Zr1 Zr 0.0000 0.5000 0.7500
Pt1 Pt 0.0000 0.0000 0.5000
# - relative energy among the computed polymorphs (meV per atom) = 239


(4)
# PBE Y2ZrPt, relaxed
data_Y2ZrPt
_cell_length_a 3.5225
_cell_length_b 3.5225
_cell_length_c 7.8520
_cell_angle_alpha 90.00
_cell_angle_beta 90.00
_cell_angle_gamma 90.00
_symmetry_space_group_name_H-M 'P 4/m m m'
_symmetry_Int_Tables_number 123
_symmetry_space_group_name_Hall '-P 4 2'
loop_
_atom_site_label
_atom_site_type_symbol
_atom_site_fract_x
_atom_site_fract_y
_atom_site_fract_z
Y1 Y 0.0000 0.0000 0.2158
Zr1 Zr 0.5000 0.5000 0.5000
Pt1 Pt 0.5000 0.5000 0.0000
# - relative energy among the computed polymorphs (meV per atom) = 18


(5)
# PBE YZr2Pt, relaxed
data_YZr2Pt
_cell_length_a 7.0241
_cell_length_b 7.0241
_cell_length_c 7.0241
_cell_angle_alpha 90.00
_cell_angle_beta 90.00
_cell_angle_gamma 90.00
_symmetry_space_group_name_H-M 'F -4 3 m'
_symmetry_Int_Tables_number 216
_symmetry_space_group_name_Hall 'F -4 2 3'
loop_
_atom_site_label
_atom_site_type_symbol
_atom_site_fract_x
_atom_site_fract_y
_atom_site_fract_z
Y1 Y 0.0000 0.0000 0.0000
Zr1 Zr 0.0000 0.0000 0.5000
Zr2 Zr 0.2500 0.2500 0.2500
Pt1 Pt 0.2500 0.2500 0.7500
# - relative energy among the computed polymorphs (meV per atom) = 241


(6)
DFT (PBE) results for crystalline Y3ZrPt12 at its relaxed geometry.

Geometry as CIF:
```
data_Y3ZrPt12
_cell_length_a 4.1081
_cell_length_b 4.1081
_cell_length_c 16.4410
_cell_angle_alpha 90.00
_cell_angle_beta 90.00
_cell_angle_gamma 90.00
_symmetry_space_group_name_H-M 'P 4/m m m'
_symmetry_Int_Tables_number 123
_symmetry_space_group_name_Hall '-P 4 2'
loop_
_atom_site_label
_atom_site_type_symbol
_atom_site_fract_x
_atom_site_fract_y
_atom_site_fract_z
Y1 Y 0.0000 0.0000 0.0000
Y2 Y 0.0000 0.0000 0.2508
Zr1 Zr 0.0000 0.0000 0.5000
Pt1 Pt 0.0000 0.5000 0.1262
Pt2 Pt 0.0000 0.5000 0.3804
Pt3 Pt 0.5000 0.5000 0.0000
Pt4 Pt 0.5000 0.5000 0.2533
Pt5 Pt 0.5000 0.5000 0.5000
```


(7)
DFT (PBE) results for crystalline YZrPt4 at its relaxed geometry.

Geometry as CIF:
```
data_YZrPt4
_cell_length_a 7.6156
_cell_length_b 7.6156
_cell_length_c 7.6156
_cell_angle_alpha 90.00
_cell_angle_beta 90.00
_cell_angle_gamma 90.00
_symmetry_space_group_name_H-M 'F -4 3 m'
_symmetry_Int_Tables_number 216
_symmetry_space_group_name_Hall 'F -4 2 3'
loop_
_atom_site_label
_atom_site_type_symbol
_atom_site_fract_x
_atom_site_fract_y
_atom_site_fract_z
Y1 Y 0.0000 0.0000 0.0000
Zr1 Zr 0.2500 0.2500 0.7500
Pt1 Pt 0.1249 0.1249 0.3751
```


(8)
DFT (PBE) results for crystalline YZr2Pt9 at its relaxed geometry.

Geometry as CIF:
```
data_YZr2Pt9
_cell_length_a 4.0785
_cell_length_b 4.0785
_cell_length_c 12.2361
_cell_angle_alpha 90.00
_cell_angle_beta 90.00
_cell_angle_gamma 90.00
_symmetry_space_group_name_H-M 'P 4/m m m'
_symmetry_Int_Tables_number 123
_symmetry_space_group_name_Hall '-P 4 2'
loop_
_atom_site_label
_atom_site_type_symbol
_atom_site_fract_x
_atom_site_fract_y
_atom_site_fract_z
Y1 Y 0.0000 0.0000 0.0000
Zr1 Zr 0.0000 0.0000 0.3336
Pt1 Pt 0.0000 0.5000 0.1739
Pt2 Pt 0.0000 0.5000 0.5000
Pt3 Pt 0.5000 0.5000 0.0000
Pt4 Pt 0.5000 0.5000 0.3369
```


Number 1: N(E_F) 1.38 states/eV per atom, ΔE_f -86 kJ/mol of formula units. Number 2: N(E_F) 0.64 states/eV per atom, ΔE_f -1334 kJ/mol of formula units. Number 3: N(E_F) 1.04 states/eV per atom, ΔE_f -120 kJ/mol of formula units. Number 4: N(E_F) 1.24 states/eV per atom, ΔE_f -205 kJ/mol of formula units. Number 5: N(E_F) 1.51 states/eV per atom, ΔE_f -109 kJ/mol of formula units. Number 6: N(E_F) 0.85 states/eV per atom, ΔE_f -1568 kJ/mol of formula units. Number 7: N(E_F) 0.66 states/eV per atom, ΔE_f -535 kJ/mol of formula units. Number 8: N(E_F) 0.19 states/eV per atom, ΔE_f -1209 kJ/mol of formula units.